Material: KMnCdC2
Method: DFT, GGA-PBEsol
State: relaxed

a b c (Å): 3.878 3.878 4.935
angles (deg): 90.00 90.00 90.00
Space group P4/mmm (No. 123)
Unique sites:
K1 0.000 0.000 0.000 [1 per cell]
Mn1 0.500 0.500 0.500 [1 per cell]
Cd1 0.500 0.500 0.000 [1 per cell]
C1 0.000 0.500 0.500 [2 per cell]

Results
Formation enthalpy at 0 K: 1.144 eV/atom

Material: YMnGaO5
Method: DFT, GGA-PBEsol
State: relaxed

a b c (Å): 7.238 8.439 5.650
angles (deg): 90.00 90.00 90.00
Space group Pbam (No. 55)
Unique sites:
Y1 0.134 0.169 0.000 [4 per cell]
Mn1 0.000 0.500 0.251 [4 per cell]
Ga1 0.108 0.853 0.500 [4 per cell]
O1 0.000 0.000 0.270 [4 per cell]
O2 0.106 0.705 0.242 [8 per cell]
O3 0.150 0.430 0.500 [4 per cell]
O4 0.161 0.443 0.000 [4 per cell]

Results
ΔE_f (raw): -1881 kJ/mol of formula units

Material: TcPt5
Method: DFT, GGA-PBEsol
State: relaxed

a b c (Å): 2.726 2.726 11.888
angles (deg): 90.00 90.00 90.00
Space group P4/mmm (No. 123)
Unique sites:
Tc1 0.000 0.000 0.000 [1 per cell]
Pt1 0.000 0.000 0.331 [2 per cell]
Pt2 0.500 0.500 0.158 [2 per cell]
Pt3 0.500 0.500 0.500 [1 per cell]

Results
Formation enthalpy at 0 K: -0.105 eV/atom

Material: CaMo2O4
Method: DFT, GGA-PBEsol
State: relaxed

a b c (Å): 8.979 8.979 8.979
angles (deg): 90.00 90.00 90.00
Space group Fd-3m (No. 227, origin choice 2)
Unique sites:
Ca1 0.125 0.125 0.125 [8 per cell]
Mo1 0.000 0.000 0.500 [16 per cell]
O1 0.016 0.016 0.734 [32 per cell]

Results
ΔE_f (raw): -1181 kJ/mol of formula units

Material: RbLaSe2O8
Method: DFT, GGA-PBEsol
State: relaxed

a b c (Å): 9.087 7.458 11.248
angles (deg): 90.00 91.38 90.00
Space group P2_1/c (No. 14)
Unique sites:
Rb1 0.067 0.144 0.343 [4 per cell]
La1 0.446 0.668 0.651 [4 per cell]
Se1 0.227 0.660 0.411 [4 per cell]
Se2 0.316 0.165 0.610 [4 per cell]
O1 0.095 0.526 0.368 [4 per cell]
O2 0.136 0.153 0.606 [4 per cell]
O3 0.204 0.738 0.042 [4 per cell]
O4 0.260 0.684 0.808 [4 per cell]
O5 0.371 0.159 0.195 [4 per cell]
O6 0.383 0.166 0.474 [4 per cell]
O7 0.383 0.546 0.446 [4 per cell]
O8 0.399 0.501 0.189 [4 per cell]

Results
ΔE_f (raw): -1832 kJ/mol of formula units

Material: YNi2Rh
Method: DFT, GGA-PBEsol
State: relaxed

a b c (Å): 2.907 3.620 5.581
angles (deg): 90.00 90.00 90.00
Space group Pmmm (No. 47)
Unique sites:
Y1 0.000 0.000 0.000 [1 per cell]
Ni1 0.500 0.500 0.290 [2 per cell]
Rh1 0.000 0.000 0.500 [1 per cell]

Results
Formation enthalpy at 0 K: -0.119 eV/atom

Material: KCrMo2
Method: DFT, GGA-PBEsol
State: relaxed

a b c (Å): 5.296 10.097 2.545
angles (deg): 90.00 90.00 90.00
Space group Cmmm (No. 65)
Unique sites:
K1 0.000 0.000 0.000 [2 per cell]
Cr1 0.000 0.500 0.000 [2 per cell]
Mo1 0.250 0.250 0.500 [4 per cell]

Results
Formation enthalpy at 0 K: 1.534 eV/atom

Material: FeHgAu2
Method: DFT, GGA-PBEsol
State: relaxed

a b c (Å): 4.151 4.151 7.721
angles (deg): 90.00 90.00 90.00
Space group I4/mmm (No. 139)
Unique sites:
Fe1 0.000 0.000 0.000 [2 per cell]
Hg1 0.000 0.000 0.500 [2 per cell]
Au1 0.000 0.500 0.250 [4 per cell]

Results
Formation enthalpy at 0 K: 0.232 eV/atom

Material: SbPbI2O
Method: DFT, GGA-PBEsol
State: relaxed

a b c (Å): 6.108 6.108 4.058
angles (deg): 90.00 90.00 90.00
Space group P4/mmm (No. 123)
Unique sites:
Sb1 0.000 0.000 0.000 [1 per cell]
Pb1 0.500 0.500 0.500 [1 per cell]
I1 0.000 0.500 0.000 [2 per cell]
O1 0.000 0.000 0.500 [1 per cell]

Results
ΔE_f (raw): -141 kJ/mol of formula units

Material: BaZn2Au2
Method: DFT, GGA-PBEsol
State: relaxed

a b c (Å): 4.472 4.472 11.060
angles (deg): 90.00 90.00 90.00
Space group I4/mmm (No. 139)
Unique sites:
Ba1 0.000 0.000 0.000 [2 per cell]
Zn1 0.000 0.500 0.250 [4 per cell]
Au1 0.000 0.000 0.373 [4 per cell]

Results
Formation enthalpy at 0 K: -0.461 eV/atom

Material: KFeCuH2
Method: DFT, GGA-PBEsol
State: relaxed

a b c (Å): 3.826 3.826 5.439
angles (deg): 90.00 90.00 90.00
Space group P4/mmm (No. 123)
Unique sites:
K1 0.000 0.000 0.000 [1 per cell]
Fe1 0.500 0.500 0.000 [1 per cell]
Cu1 0.000 0.000 0.500 [1 per cell]
H1 0.000 0.500 0.500 [2 per cell]

Results
Calculated total energy: -13.9 eV/cell

Material: TcHg4Au
Method: DFT, GGA-PBEsol
State: relaxed

a b c (Å): 7.876 7.876 7.876
angles (deg): 90.00 90.00 90.00
Space group F-43m (No. 216)
Unique sites:
Tc1 0.000 0.000 0.000 [4 per cell]
Hg1 0.125 0.125 0.375 [16 per cell]
Au1 0.250 0.250 0.750 [4 per cell]

Results
Formation enthalpy at 0 K: 0.813 eV/atom

Material: MnNiMo2
Method: DFT, GGA-PBEsol
State: relaxed

a b c (Å): 2.582 2.582 7.885
angles (deg): 90.00 90.00 90.00
Space group P4mm (No. 99)
Unique sites:
Mn1 0.000 0.000 0.000 [1 per cell]
Ni1 0.500 0.500 0.783 [1 per cell]
Mo1 0.000 0.000 0.546 [1 per cell]
Mo2 0.500 0.500 0.252 [1 per cell]

Results
Formation enthalpy at 0 K: 0.142 eV/atom

Material: CdBr5
Method: DFT, GGA-PBEsol
State: relaxed

a b c (Å): 5.4536 5.4536 7.5906
angles (deg): 90.00 90.00 120.00
Space group P6/mmm (No. 191)
Unique sites:
Cd1 0.0000 0.0000 0.0000 [1 per cell]
Br1 0.0000 0.5000 0.5000 [3 per cell]
Br2 0.3333 0.6667 0.0000 [2 per cell]

Results
ΔE_f (raw): 61 kJ/mol of formula units

Material: MnHg2Rh
Method: DFT, GGA-PBEsol
State: relaxed

a b c (Å): 2.9814 2.9814 26.3880
angles (deg): 90.00 90.00 120.00
Space group R-3m (No. 166, hexagonal axes)
Unique sites:
Mn1 0.0000 0.0000 0.0000 [3 per cell]
Hg1 0.0000 0.0000 0.2500 [6 per cell]
Rh1 0.0000 0.0000 0.5000 [3 per cell]

Results
Formation enthalpy at 0 K: 0.320 eV/atom

Material: TcIr2Ru
Method: DFT, GGA-PBEsol
State: relaxed

a b c (Å): 3.821 3.821 7.564
angles (deg): 90.00 90.00 90.00
Space group I-4m2 (No. 119)
Unique sites:
Tc1 0.000 0.000 0.000 [2 per cell]
Ir1 0.000 0.000 0.500 [2 per cell]
Ir2 0.000 0.500 0.750 [2 per cell]
Ru1 0.000 0.500 0.250 [2 per cell]

Results
Formation enthalpy at 0 K: -0.102 eV/atom

Material: HfIr2Pb2
Method: DFT, GGA-PBEsol
State: relaxed

a b c (Å): 4.045 4.045 12.851
angles (deg): 90.00 90.00 90.00
Space group I4/mmm (No. 139)
Unique sites:
Hf1 0.000 0.000 0.000 [2 per cell]
Ir1 0.000 0.000 0.406 [4 per cell]
Pb1 0.000 0.500 0.250 [4 per cell]

Results
Formation enthalpy at 0 K: 0.357 eV/atom

Material: ZrIn2GaHg
Method: DFT, GGA-PBEsol
State: relaxed

a b c (Å): 4.974 4.974 5.141
angles (deg): 90.00 90.00 90.00
Space group P4/mmm (No. 123)
Unique sites:
Zr1 0.000 0.000 0.000 [1 per cell]
In1 0.000 0.500 0.500 [2 per cell]
Ga1 0.000 0.000 0.500 [1 per cell]
Hg1 0.500 0.500 0.000 [1 per cell]

Results
Formation enthalpy at 0 K: 0.411 eV/atom

Material: Ag2HgIr
Method: DFT, GGA-PBEsol
State: relaxed

a b c (Å): 2.796 2.796 8.562
angles (deg): 90.00 90.00 90.00
Space group P4/mmm (No. 123)
Unique sites:
Ag1 0.000 0.000 0.235 [2 per cell]
Hg1 0.500 0.500 0.500 [1 per cell]
Ir1 0.500 0.500 0.000 [1 per cell]

Results
Formation enthalpy at 0 K: 0.331 eV/atom

Material: ZnIrOs2
Method: DFT, GGA-PBEsol
State: relaxed

a b c (Å): 3.730 3.730 4.015
angles (deg): 90.00 90.00 90.00
Space group P4/mmm (No. 123)
Unique sites:
Zn1 0.000 0.000 0.000 [1 per cell]
Ir1 0.500 0.500 0.000 [1 per cell]
Os1 0.000 0.500 0.500 [2 per cell]

Results
Formation enthalpy at 0 K: 0.415 eV/atom

Material: PtWAu2
Method: DFT, GGA-PBEsol
State: relaxed

a b c (Å): 6.341 6.341 6.341
angles (deg): 90.00 90.00 90.00
Space group Fm-3m (No. 225)
Unique sites:
Pt1 0.000 0.000 0.000 [4 per cell]
W1 0.000 0.000 0.500 [4 per cell]
Au1 0.250 0.250 0.250 [8 per cell]

Results
Formation enthalpy at 0 K: 0.324 eV/atom

Material: Mg3Ag2
Method: DFT, GGA-PBEsol
State: relaxed

a b c (Å): 3.471 3.471 15.803
angles (deg): 90.00 90.00 90.00
Space group I4/mmm (No. 139)
Unique sites:
Mg1 0.000 0.000 0.000 [2 per cell]
Mg2 0.000 0.000 0.384 [4 per cell]
Ag1 0.000 0.000 0.201 [4 per cell]

Results
Formation enthalpy at 0 K: -0.117 eV/atom

Material: ZnCr2Tc
Method: DFT, GGA-PBEsol
State: relaxed

a b c (Å): 3.939 3.939 3.188
angles (deg): 90.00 90.00 90.00
Space group P4/mmm (No. 123)
Unique sites:
Zn1 0.000 0.000 0.000 [1 per cell]
Cr1 0.000 0.500 0.500 [2 per cell]
Tc1 0.500 0.500 0.000 [1 per cell]

Results
Formation enthalpy at 0 K: 0.245 eV/atom

Material: SrSbTe2W
Method: DFT, GGA-PBEsol
State: relaxed

a b c (Å): 5.129 5.129 5.967
angles (deg): 90.00 90.00 90.00
Space group P4/mmm (No. 123)
Unique sites:
Sr1 0.000 0.000 0.000 [1 per cell]
Sb1 0.500 0.500 0.000 [1 per cell]
Te1 0.000 0.500 0.500 [2 per cell]
W1 0.000 0.000 0.500 [1 per cell]

Results
ΔE_f (raw): 231 kJ/mol of formula units

Material: FeSbTe2
Method: DFT, GGA-PBEsol
State: relaxed

a b c (Å): 3.248 4.834 11.912
angles (deg): 90.00 90.00 90.00
Space group Imm2 (No. 44)
Unique sites:
Fe1 0.000 0.000 0.000 [2 per cell]
Sb1 0.000 0.500 0.679 [2 per cell]
Te1 0.000 0.000 0.518 [2 per cell]
Te2 0.000 0.500 0.330 [2 per cell]

Results
ΔE_f (raw): 79 kJ/mol of formula units